1.
Density functional theory data (PBE-GGA) for crystalline LaPm2Rh2 at its relaxed geometry.

Values from the calculation:
**M_tot**: 0.00 μB per cell

Lattice parameters (Å, degrees): 4.3785 5.8338 10.8063 80.84 90.00 90.00
Sites, in units of the cell vectors:
Rh1 0.7500 0.3105 0.3630
Rh2 0.2500 0.6895 0.6370
Rh3 0.2500 0.3396 0.9665
Rh4 0.7500 0.6604 0.0335
Pm1 0.2500 0.8893 0.8843
Pm2 0.2500 0.2292 0.5350
Pm3 0.7500 0.1107 0.1157
Pm4 0.7500 0.7708 0.4650
La1 0.2500 0.5466 0.2102
La2 0.7500 0.4534 0.7898

=====

2.
Density functional theory data (PBE-GGA) for crystalline LaPm2Rh2 at its relaxed geometry.

Values from the calculation:
**M_tot**: 0.00 μB per cell

Lattice parameters (Å, degrees): 3.9677 6.9956 10.1163 90.00 90.00 106.47
Sites, in units of the cell vectors:
Rh1 0.2507 0.5015 0.1471
Rh2 0.7493 0.4985 0.6471
Rh3 0.0000 0.0000 0.8971
Rh4 0.0000 0.0000 0.3971
Pm1 0.3551 0.7101 0.8283
Pm2 0.3550 0.7100 0.4658
Pm3 0.6450 0.2900 0.9658
Pm4 0.6449 0.2899 0.3283
La1 0.9051 0.8103 0.1471
La2 0.0949 0.1897 0.6471

=====

Decreasing stability: 1, 2

=====

1.
Density functional theory data (PBE-GGA) for crystalline LaPmSiRh at its relaxed geometry.

Values from the calculation:
**M_tot**: 0.00 μB per cell

Lattice parameters (Å, degrees): 5.1192 5.1192 5.1192 60.00 60.00 60.00
Sites, in units of the cell vectors:
Si1 0.7500 0.7500 0.7500
Rh1 0.2500 0.2500 0.2500
Pm1 0.0000 0.0000 0.0000
La1 0.5000 0.5000 0.5000

=====

2.
Density functional theory data (PBE-GGA) for crystalline LaPmSiRh at its relaxed geometry.

Values from the calculation:
**M_tot**: 0.00 μB per cell

Lattice parameters (Å, degrees): 4.4350 4.2910 5.5684 90.00 113.47 90.00
Sites, in units of the cell vectors:
La1 0.1497 0.0000 0.2995
Pm1 0.8614 0.5000 0.7229
Rh1 0.4287 0.0000 0.8573
Si1 0.5602 0.5000 0.1203

=====

Decreasing stability: 2, 1

=====

1.
Density functional theory data (PBE-GGA) for crystalline LaPm2Ru2 at its relaxed geometry.

Values from the calculation:
**M_tot**: 0.00 μB per cell

Lattice parameters (Å, degrees): 4.3708 5.5913 11.0621 82.56 90.00 90.00
Sites, in units of the cell vectors:
Pm1 0.7500 0.7641 0.4699
Pm2 0.7500 0.0792 0.1223
Pm3 0.2500 0.9208 0.8777
Pm4 0.2500 0.2359 0.5301
La1 0.7500 0.4627 0.7801
La2 0.2500 0.5373 0.2199
Ru1 0.7500 0.3023 0.3572
Ru2 0.7500 0.6275 0.0076
Ru3 0.2500 0.6977 0.6428
Ru4 0.2500 0.3725 0.9924

=====

2.
Density functional theory data (PBE-GGA) for crystalline LaPm2Ru2 at its relaxed geometry.

Values from the calculation:
**M_tot**: 0.00 μB per cell

Lattice parameters (Å, degrees): 4.3455 5.9294 5.9308 62.94 68.50 68.50
Sites, in units of the cell vectors:
Pm1 0.3079 0.1921 0.6922
Pm2 0.6921 0.8079 0.3078
La1 0.5000 0.5000 0.0000
Ru1 0.0002 0.2261 0.2733
Ru2 0.9998 0.7739 0.7267

=====

Decreasing stability: 2, 1

=====

1.
Density functional theory data (PBE-GGA) for crystalline LaPm4Ru2 at its relaxed geometry.

Values from the calculation:
**M_tot**: 0.00 μB per cell

Lattice parameters (Å, degrees): 6.7418 8.2680 7.8722 114.34 90.00 90.00
Sites, in units of the cell vectors:
Pm1 0.2500 0.9884 0.6301
Pm2 0.2500 0.2541 0.3188
Pm3 0.4962 0.5918 0.2506
Pm4 0.5038 0.4082 0.7494
Pm5 0.7500 0.0116 0.3699
Pm6 0.9962 0.4082 0.7494
Pm7 0.0038 0.5918 0.2506
Pm8 0.7500 0.7459 0.6812
Ru1 0.7500 0.7161 0.0139
Ru2 0.7500 0.3560 0.3883
Ru3 0.2500 0.6440 0.6117
Ru4 0.2500 0.2839 0.9861
La1 0.7500 0.1772 0.0292
La2 0.2500 0.8228 0.9708

=====

2.
Density functional theory data (PBE-GGA) for crystalline LaPm4Ru2 at its relaxed geometry.

Values from the calculation:
**M_tot**: 0.00 μB per cell

Lattice parameters (Å, degrees): 4.9645 4.9645 10.1970 75.91 75.91 60.00
Sites, in units of the cell vectors:
La1 0.0000 0.0000 0.0000
Pm1 0.7999 0.7999 0.6002
Pm2 0.4034 0.4034 0.7897
Pm3 0.5966 0.5966 0.2103
Pm4 0.2001 0.2001 0.3998
Ru1 0.9022 0.9022 0.2934
Ru2 0.0978 0.0978 0.7066

=====

Decreasing stability: 1, 2

=====

1.
Density functional theory data (PBE-GGA) for crystalline LaPmZnRu at its relaxed geometry.

Values from the calculation:
**M_tot**: 0.00 μB per cell

Lattice parameters (Å, degrees): 4.1408 4.2638 5.9610 90.00 110.32 90.00
Sites, in units of the cell vectors:
Pm1 0.1378 0.0000 0.2756
Zn1 0.5692 0.5000 0.1385
La1 0.8625 0.5000 0.7251
Ru1 0.4304 0.0000 0.8608

=====

2.
Density functional theory data (PBE-GGA) for crystalline LaPmZnRu at its relaxed geometry.

Values from the calculation:
**M_tot**: 0.00 μB per cell

Lattice parameters (Å, degrees): 5.1067 5.1067 5.1067 60.00 60.00 60.00
Sites, in units of the cell vectors:
La1 0.2500 0.2500 0.2500
Pm1 0.7500 0.7500 0.7500
Ru1 0.5000 0.5000 0.5000
Zn1 0.0000 0.0000 0.0000

=====

Decreasing stability: 1, 2

=====

1.
Density functional theory data (PBE-GGA) for crystalline LaPm3S4 at its relaxed geometry.

Values from the calculation:
**M_tot**: 0.00 μB per cell

Lattice parameters (Å, degrees): 4.0402 7.0544 7.0544 109.24 90.00 90.00
Sites, in units of the cell vectors:
La1 0.5000 0.0000 0.0000
S1 0.5000 0.7474 0.2526
S2 0.5000 0.2526 0.7474
S3 0.0000 0.7446 0.7446
S4 0.0000 0.2554 0.2554
Pm1 0.5000 0.5000 0.5000
Pm2 0.0000 0.5000 0.0000
Pm3 0.0000 0.0000 0.5000

=====

2.
Density functional theory data (PBE-GGA) for crystalline LaPm3S4 at its relaxed geometry.

Values from the calculation:
**M_tot**: 0.00 μB per cell

Lattice parameters (Å, degrees): 5.7506 5.7506 5.7506 90.00 90.00 90.00
Sites, in units of the cell vectors:
La1 0.0000 0.0000 0.0000
Pm1 0.5000 0.0000 0.5000
Pm2 0.0000 0.5000 0.5000
Pm3 0.5000 0.5000 0.0000
S1 0.0000 0.5000 0.0000
S2 0.5000 0.0000 0.0000
S3 0.0000 0.0000 0.5000
S4 0.5000 0.5000 0.5000

=====

Decreasing stability: 1, 2

=====

1.
Density functional theory data (PBE-GGA) for crystalline LaPmSb at its relaxed geometry.

Values from the calculation:
**M_tot**: 0.00 μB per cell

Lattice parameters (Å, degrees): 4.2153 4.2153 5.9252 110.84 110.84 90.00
Sites, in units of the cell vectors:
La1 0.6305 0.6305 0.2610
Pm1 0.9312 0.9312 0.8625
Sb1 0.2883 0.2883 0.5766

=====

2.
Density functional theory data (PBE-GGA) for crystalline LaPmSb at its relaxed geometry.

Values from the calculation:
**M_tot**: 0.00 μB per cell

Lattice parameters (Å, degrees): 4.5509 4.5509 9.5458 103.79 103.79 90.00
Sites, in units of the cell vectors:
La1 0.0000 0.5000 0.0000
La2 0.5000 0.0000 0.0000
Pm1 0.8199 0.8199 0.6398
Pm2 0.1801 0.1801 0.3602
Sb1 0.6412 0.6412 0.2823
Sb2 0.3588 0.3588 0.7177

=====

Decreasing stability: 2, 1

=====

1.
Density functional theory data (PBE-GGA) for crystalline LaPmSb at its relaxed geometry.

Values from the calculation:
**M_tot**: 0.00 μB per cell

Lattice parameters (Å, degrees): 5.2836 5.2836 5.2836 60.00 60.00 60.00
Sites, in units of the cell vectors:
Pm1 0.0000 0.0000 0.0000
Sb1 0.2500 0.2500 0.2500
La1 0.5000 0.5000 0.5000

=====

2.
Density functional theory data (PBE-GGA) for crystalline LaPmSb at its relaxed geometry.

Values from the calculation:
**M_tot**: 0.00 μB per cell

Lattice parameters (Å, degrees): 4.2686 6.2176 8.8677 116.43 89.99 110.08
Sites, in units of the cell vectors:
La1 0.8484 0.6969 0.4496
La2 0.1516 0.3031 0.5504
Sb1 0.1590 0.3178 0.1714
Sb2 0.8410 0.6822 0.8286
Pm1 0.4279 0.8562 0.1425
Pm2 0.5721 0.1438 0.8575

=====

3.
Density functional theory data (PBE-GGA) for crystalline LaPmSb at its relaxed geometry.

Values from the calculation:
**M_tot**: 0.00 μB per cell

Lattice parameters (Å, degrees): 4.2725 5.1869 5.1869 120.00 90.00 90.00
Sites, in units of the cell vectors:
Sb1 0.2711 0.3333 0.6667
Pm1 0.1024 0.0000 0.0000
La1 0.6265 0.6667 0.3333

=====

Decreasing stability: 2, 1, 3

=====

1.
Density functional theory data (PBE-GGA) for crystalline LaPm3Sb2 at its relaxed geometry.

Values from the calculation:
**M_tot**: 0.00 μB per cell

Lattice parameters (Å, degrees): 4.5823 4.5823 8.8947 90.00 90.00 90.00
Sites, in units of the cell vectors:
Pm1 0.0000 0.0000 0.0000
Pm2 0.5000 0.0000 0.3577
Pm3 0.0000 0.5000 0.6423
La1 0.5000 0.5000 0.0000
Sb1 0.0000 0.5000 0.2822
Sb2 0.5000 0.0000 0.7178

=====

2.
Density functional theory data (PBE-GGA) for crystalline LaPm3Sb2 at its relaxed geometry.

Values from the calculation:
**M_tot**: 0.00 μB per cell

Lattice parameters (Å, degrees): 4.4865 10.6383 10.0244 124.20 90.00 102.17
Sites, in units of the cell vectors:
Pm1 0.9439 0.8878 0.5630
Pm2 0.3533 0.7065 0.1794
Pm3 0.6467 0.2935 0.8206
Pm4 0.6884 0.3768 0.4881
Pm5 0.3116 0.6232 0.5119
Pm6 0.0561 0.1122 0.4370
Sb1 0.5103 0.0206 0.1760
Sb2 0.2448 0.4896 0.7734
Sb3 0.4897 0.9794 0.8240
Sb4 0.7552 0.5104 0.2266
La1 0.1119 0.2237 0.1004
La2 0.8881 0.7763 0.8996

=====

Decreasing stability: 1, 2

=====

1.
Density functional theory data (PBE-GGA) for crystalline LaPmSb2 at its relaxed geometry.

Values from the calculation:
**M_tot**: 0.00 μB per cell

Lattice parameters (Å, degrees): 5.5453 5.5453 5.5453 60.00 60.00 60.00
Sites, in units of the cell vectors:
Sb1 0.7500 0.7500 0.7500
Sb2 0.2500 0.2500 0.2500
La1 0.5000 0.5000 0.5000
Pm1 0.0000 0.0000 0.0000

=====

2.
Density functional theory data (PBE-GGA) for crystalline LaPmSb2 at its relaxed geometry.

Values from the calculation:
**M_tot**: 0.00 μB per cell

Lattice parameters (Å, degrees): 4.5635 4.5635 7.8908 89.98 106.82 120.01
Sites, in units of the cell vectors:
Sb1 0.4957 0.7478 0.2435
Sb2 0.5043 0.2522 0.7565
La1 0.0000 0.5000 0.5000
Pm1 0.0000 0.0000 0.0000

=====

3.
Density functional theory data (PBE-GGA) for crystalline LaPmSb2 at its relaxed geometry.

Values from the calculation:
**M_tot**: 0.00 μB per cell

Lattice parameters (Å, degrees): 4.5005 4.5005 8.2031 74.08 74.08 60.00
Sites, in units of the cell vectors:
Sb1 0.2532 0.2532 0.2404
Sb2 0.0803 0.0803 0.7592
Pm1 0.6687 0.6687 0.9938
La1 0.4978 0.4978 0.5066

=====

Decreasing stability: 2, 3, 1

=====

1.
Density functional theory data (PBE-GGA) for crystalline La2Pm4Sc at its relaxed geometry.

Values from the calculation:
**M_tot**: 0.00 μB per cell

Lattice parameters (Å, degrees): 6.8022 9.0630 9.0630 80.44 67.96 67.96
Sites, in units of the cell vectors:
Sc1 0.5000 0.5000 0.0000
Sc2 0.0000 0.5000 0.0000
La1 0.5000 0.0000 0.0000
La2 0.5000 0.5000 0.5000
La3 0.7232 0.0268 0.5268
La4 0.2768 0.9732 0.4732
Pm1 0.2313 0.2451 0.7451
Pm2 0.8510 0.1628 0.1351
Pm3 0.1490 0.3649 0.3372
Pm4 0.1490 0.8372 0.8649
Pm5 0.7785 0.2451 0.7451
Pm6 0.7687 0.7549 0.2549
Pm7 0.8510 0.6351 0.6628
Pm8 0.2215 0.7549 0.2549

=====

2.
Density functional theory data (PBE-GGA) for crystalline La2Pm4Sc at its relaxed geometry.

Values from the calculation:
**M_tot**: 0.00 μB per cell

Lattice parameters (Å, degrees): 8.5474 8.5444 8.5417 109.28 109.84 109.31
Sites, in units of the cell vectors:
La1 0.2616 0.6366 0.1250
La2 0.3749 0.8635 0.7382
La3 0.8751 0.1366 0.5117
La4 0.4885 0.3633 0.6251
Pm1 0.1106 0.3925 0.3569
Pm2 0.6393 0.7460 0.5318
Pm3 0.2820 0.2461 0.8895
Pm4 0.6431 0.7540 0.0357
Pm5 0.1066 0.8924 0.3604
Pm6 0.9642 0.6076 0.7182
Pm7 0.7858 0.2538 0.8932
Pm8 0.4681 0.1074 0.2143
Sc1 0.0001 0.0001 0.0000
Sc2 0.7500 0.5000 0.2499

=====

Decreasing stability: 1, 2